# KRb2BO | the Alexandria database | PBEsol | relaxed
data_KRb2BO
_chemical_formula_sum 'K1 Rb2 B1 O1'
_space_group_name_H-M_alt 'P 1'
_space_group_IT_number 1
_cell_length_a 5.1716
_cell_length_b 5.4384
_cell_length_c 5.4384
_cell_angle_alpha 90.00
_cell_angle_beta 90.00
_cell_angle_gamma 90.00
loop_
_space_group_symop_operation_xyz
'x,y,z'
loop_
_atom_site_label
_atom_site_type_symbol
_atom_site_fract_x
_atom_site_fract_y
_atom_site_fract_z
K1 K 0.5000 0.0000 0.0000
B1 B 0.5000 0.5000 0.5000
O1 O 0.0000 0.0000 0.0000
Rb1 Rb 0.0000 0.0000 0.5000
Rb2 Rb 0.0000 0.5000 0.0000
# Space group = P4/mmm, No. 123

=====

# KBS2O8 | the Alexandria database | PBEsol | relaxed
data_KBS2O8
_chemical_formula_sum 'K4 B4 S8 O32'
_space_group_name_H-M_alt 'P 1'
_space_group_IT_number 1
_cell_length_a 7.4691
_cell_length_b 9.0334
_cell_length_c 9.0334
_cell_angle_alpha 90.00
_cell_angle_beta 90.00
_cell_angle_gamma 90.00
loop_
_space_group_symop_operation_xyz
'x,y,z'
loop_
_atom_site_label
_atom_site_type_symbol
_atom_site_fract_x
_atom_site_fract_y
_atom_site_fract_z
K1 K 0.4371 0.5000 0.0000
K2 K 0.9371 0.5000 0.0000
K3 K 0.5629 0.0000 0.5000
K4 K 0.0629 0.0000 0.5000
B1 B 0.5000 0.0000 0.0000
B2 B 0.0000 0.0000 0.0000
B3 B 0.0000 0.5000 0.5000
B4 B 0.5000 0.5000 0.5000
S1 S 0.2500 0.8444 0.1556
S2 S 0.7500 0.8444 0.8444
S3 S 0.7500 0.1556 0.1556
S4 S 0.2500 0.1556 0.8444
S5 S 0.7500 0.6556 0.3444
S6 S 0.2500 0.6556 0.6556
S7 S 0.2500 0.3444 0.3444
S8 S 0.7500 0.3444 0.6556
O1 O 0.1758 0.2993 0.8726
O2 O 0.6758 0.2993 0.1274
O3 O 0.6758 0.7007 0.8726
O4 O 0.1758 0.7007 0.1274
O5 O 0.6758 0.3726 0.7993
O6 O 0.1758 0.3726 0.2007
O7 O 0.1758 0.6274 0.7993
O8 O 0.6758 0.6274 0.2007
O9 O 0.8242 0.2007 0.6274
O10 O 0.3242 0.2007 0.3726
O11 O 0.3242 0.7993 0.6274
O12 O 0.8242 0.7993 0.3726
O13 O 0.3242 0.1274 0.7007
O14 O 0.8242 0.1274 0.2993
O15 O 0.8242 0.8726 0.7007
O16 O 0.3242 0.8726 0.2993
O17 O 0.3910 0.4684 0.3682
O18 O 0.8910 0.4684 0.6318
O19 O 0.8910 0.5316 0.3682
O20 O 0.3910 0.5316 0.6318
O21 O 0.8910 0.8682 0.9684
O22 O 0.3910 0.8682 0.0316
O23 O 0.3910 0.1318 0.9684
O24 O 0.8910 0.1318 0.0316
O25 O 0.6090 0.0316 0.1318
O26 O 0.1090 0.0316 0.8682
O27 O 0.1090 0.9684 0.1318
O28 O 0.6090 0.9684 0.8682
O29 O 0.1090 0.6318 0.5316
O30 O 0.6090 0.6318 0.4684
O31 O 0.6090 0.3682 0.5316
O32 O 0.1090 0.3682 0.4684
# Space group = P4/ncc, No. 130

=====

# K3BSb4O13 | the Alexandria database | PBEsol | relaxed
data_K3BSb4O13
_chemical_formula_sum 'K6 B2 Sb8 O26'
_space_group_name_H-M_alt 'P 1'
_space_group_IT_number 1
_cell_length_a 7.1629
_cell_length_b 7.2668
_cell_length_c 13.3181
_cell_angle_alpha 82.22
_cell_angle_beta 79.77
_cell_angle_gamma 63.08
loop_
_space_group_symop_operation_xyz
'x,y,z'
loop_
_atom_site_label
_atom_site_type_symbol
_atom_site_fract_x
_atom_site_fract_y
_atom_site_fract_z
K1 K 0.7194 0.1998 0.6943
K2 K 0.1341 0.5626 0.5616
K3 K 0.3052 0.7820 0.0284
K4 K 0.2806 0.8002 0.3057
K5 K 0.6948 0.2180 0.9716
K6 K 0.8659 0.4374 0.4384
B1 B 0.8425 0.7263 0.9766
B2 B 0.1575 0.2737 0.0234
Sb1 Sb 0.6872 0.6842 0.7860
Sb2 Sb 0.1661 0.2026 0.7920
Sb3 Sb 0.8260 0.3014 0.2064
Sb4 Sb 0.8339 0.7974 0.2080
Sb5 Sb 0.1740 0.6986 0.7936
Sb6 Sb 0.3128 0.3158 0.2140
Sb7 Sb 0.5749 0.0720 0.3947
Sb8 Sb 0.4251 0.9280 0.6053
O1 O 0.5316 0.0196 0.2507
O2 O 0.8378 0.8148 0.3587
O3 O 0.7319 0.2366 0.3509
O4 O 0.1360 0.6117 0.1919
O5 O 0.5480 0.3910 0.1585
O6 O 0.6785 0.7479 0.9272
O7 O 0.2681 0.7634 0.6491
O8 O 0.0544 0.6430 0.9362
O9 O 0.1622 0.1852 0.6413
O10 O 0.4520 0.6090 0.8415
O11 O 0.8640 0.3883 0.8081
O12 O 0.2768 0.4100 0.7524
O13 O 0.6840 0.6678 0.6354
O14 O 0.7232 0.5900 0.2476
O15 O 0.5848 0.0932 0.5398
O16 O 0.9049 0.7812 0.7381
O17 O 0.9456 0.3570 0.0638
O18 O 0.7708 0.8230 0.0675
O19 O 0.3215 0.2521 0.0728
O20 O 0.0662 0.9866 0.8349
O21 O 0.0951 0.2188 0.2619
O22 O 0.9338 0.0134 0.1651
O23 O 0.4152 0.9068 0.4602
O24 O 0.2292 0.1770 0.9325
O25 O 0.4684 0.9804 0.7493
O26 O 0.3160 0.3322 0.3646
# Space group = P-1, No. 2

=====

Number 1: volume 30.59 A^3/atom, E_form (uncorrected) 0.31 eV per atom. Number 2: volume 12.70 A^3/atom, E_form (uncorrected) -1.73 eV per atom. Number 3: volume 14.45 A^3/atom, E_form (uncorrected) -1.72 eV per atom.